Compound: La8SbN4
Source: the Alexandria database
Functional: PBE
Structure: relaxed

Values from the calculation:
calculated total energy = -0.246 hartree per atom
D(E_F) = 0.530 states/eV/atom
ΔE_f (raw) = -0.777 eV per atom
volume = 27.753 A^3/atom

abc: 7.991 7.991 7.991
angles: 60.00 60.00 60.00
Positions (direct):
La1 0.574 0.142 0.142
La2 0.142 0.574 0.142
La3 0.142 0.142 0.574
La4 0.142 0.142 0.142
La5 0.194 0.602 0.602
La6 0.602 0.194 0.602
La7 0.602 0.602 0.194
La8 0.602 0.602 0.602
Sb1 0.750 0.750 0.750
N1 0.886 0.371 0.371
N2 0.371 0.886 0.371
N3 0.371 0.371 0.886
N4 0.371 0.371 0.371

Compound: LaMg2
Source: the Alexandria database
Functional: PBE
Structure: relaxed

Values from the calculation:
calculated total energy = -0.101 hartree per atom
D(E_F) = 0.668 states/eV/atom
volume = 27.831 A^3/atom

abc: 6.381 6.381 7.883
angles: 73.57 73.57 32.99
Positions (direct):
La1 0.347 0.347 0.570
La2 0.653 0.653 0.430
Mg1 0.667 0.667 0.927
Mg2 0.995 0.995 0.208
Mg3 0.005 0.005 0.792
Mg4 0.333 0.333 0.073

Number 1: spin magnetization 0.00 μB per formula unit. Number 2: spin magnetization 0.00 μB per formula unit.